Compound: Tl2CoHg
Source: the Alexandria database
Functional: GGA-PBE
Structure: relaxed

Geometry as POSCAR:
```
Tl2CoHg
1.0
-4.357 -1.072 -3.152
1.229 -4.148 -3.370
0.503 0.530 5.435
Hg Tl Co
1 2 1
Direct
0.750 0.250 0.500
0.000 0.000 0.000
0.500 0.500 0.000
0.250 0.750 0.500
```

Results
energy of formation from the pure elements: 563.9 meV/atom
Fermi-level density of states: 4.801 states/eV/cell
energy above the lowest structure with this stoichiometry: 255.4 meV per atom
volume: 22.70 Å³ per atom

Compound: CaMn2Tc
Source: the Alexandria database
Functional: GGA-PBE
Structure: relaxed

Geometry as POSCAR:
```
CaMn2Tc
1.0
-3.750 -0.812 2.381
-2.790 -3.325 -1.246
-0.316 -3.741 2.509
Ca Tc Mn
1 1 2
Direct
0.500 0.500 0.500
0.750 0.750 0.750
0.000 0.000 0.000
0.250 0.250 0.250
```

Results
energy of formation from the pure elements: 688.4 meV/atom
Fermi-level density of states: 4.046 states/eV/cell
energy above the lowest structure with this stoichiometry: 328.5 meV per atom
volume: 16.28 Å³ per atom

Compound: Y3BeTe
Source: the Alexandria database
Functional: GGA-PBE
Structure: relaxed

Geometry as POSCAR:
```
Y3BeTe
1.0
5.180 0.000 0.000
0.000 5.180 0.000
0.000 0.000 5.180
Y Te Be
3 1 1
Direct
0.000 0.000 0.500
0.000 0.500 0.000
0.500 0.000 0.000
0.500 0.500 0.500
0.000 0.000 0.000
```

Results
Fermi-level density of states: 3.705 states/eV/cell
energy above the lowest structure with this stoichiometry: 0.0 meV per atom
volume: 27.80 Å³ per atom

Compound: CdCu4Rh
Source: the Alexandria database
Functional: GGA-PBE
Structure: relaxed

Geometry as POSCAR:
```
CdCu4Rh
1.0
4.877 0.000 0.000
2.438 4.224 0.000
2.438 1.408 3.982
Cu Cd Rh
4 1 1
Direct
0.625 0.625 0.625
0.625 0.126 0.625
0.625 0.625 0.126
0.126 0.625 0.625
0.000 0.000 0.000
0.250 0.250 0.250
```

Results
energy of formation from the pure elements: 26.5 meV/atom
Fermi-level density of states: 2.580 states/eV/cell
volume: 13.67 Å³ per atom

Compound: Mg2HgBi
Source: the Alexandria database
Functional: GGA-PBE
Structure: relaxed

Geometry as POSCAR:
```
Mg2HgBi
1.0
3.806 0.000 0.000
0.000 5.098 0.000
0.000 0.000 5.098
Bi Mg Hg
1 2 1
Direct
0.500 0.000 0.000
0.000 0.500 0.000
0.000 0.000 0.500
0.500 0.500 0.500
```

Results
energy of formation from the pure elements: -144.2 meV/atom
Fermi-level density of states: 1.655 states/eV/cell
energy above the lowest structure with this stoichiometry: 31.8 meV per atom
volume: 24.73 Å³ per atom

Compound: Mn2NbTe
Source: the Alexandria database
Functional: GGA-PBE
Structure: relaxed

Geometry as POSCAR:
```
Mn2NbTe
1.0
4.036 0.000 0.000
0.000 4.036 0.000
2.018 2.018 9.104
Mn Nb Te
4 2 2
Direct
0.125 0.625 0.250
0.625 0.125 0.250
0.875 0.875 0.750
0.375 0.375 0.750
0.250 0.750 0.500
0.500 0.500 0.000
0.750 0.250 0.500
0.000 0.000 0.000
```

Results
Fermi-level density of states: 6.739 states/eV/cell
final energy: -7.3609 eV/atom
volume: 18.54 Å³ per atom

Compound: Ac2NdGe3Rh4
Source: the Alexandria database
Functional: GGA-PBE
Structure: relaxed

Geometry as POSCAR:
```
Ac2NdGe3Rh4
1.0
-3.411 1.268 2.334
-2.639 -1.187 -3.212
-0.794 -10.443 4.512
Rh Ac Ge Nd
4 2 3 1
Direct
0.000 0.000 0.000
0.500 0.500 0.000
0.500 0.000 0.663
0.000 0.500 0.337
0.500 0.000 0.232
0.000 0.500 0.768
0.000 0.000 0.500
0.500 0.000 0.884
0.000 0.500 0.116
0.500 0.500 0.500
```

Results
energy of formation from the pure elements: -825.7 meV/atom
Fermi-level density of states: 5.339 states/eV/cell
volume: 21.31 Å³ per atom

Compound: DyErPuSc
Source: the Alexandria database
Functional: GGA-PBE
Structure: relaxed

Geometry as POSCAR:
```
DyErPuSc
1.0
5.440 0.000 0.000
2.720 4.711 0.000
2.720 1.570 4.442
Sc Er Dy Pu
1 1 1 1
Direct
0.000 0.000 0.000
0.500 0.500 0.500
0.250 0.250 0.250
0.750 0.750 0.750
```

Results
energy of formation from the pure elements: 173.8 meV/atom
Fermi-level density of states: 8.895 states/eV/cell
volume: 28.46 Å³ per atom